LaTc2Ge7 PBE-GGA relaxed; mass density = 6303 kg/m3; calculated volume = 22.22 Å³ per atom; crystal system = orthorhombic; DFT formation energy = -0.01 eV per atom
1.0
4.8055 0.0000 0.0000
0.0000 6.7879 0.9515
0.0000 -2.1405 6.5114
La Tc Ge
1 2 7
Direct
0.0000 0.0000 0.0000
0.5000 0.7257 0.2743
0.5000 0.2743 0.7257
0.0000 0.6998 0.3002
0.0000 0.3002 0.6998
0.5000 0.1043 0.3387
0.5000 0.8957 0.6613
0.5000 0.3387 0.1043
0.5000 0.6613 0.8957
0.5000 0.5000 0.5000


La2YSc PBE-GGA relaxed; mass density = 5262 kg/m3; calculated volume = 32.48 Å³ per atom; crystal system = orthorhombic; DFT formation energy = 0.05 eV per atom
1.0
6.0227 -0.0006 0.0000
-1.5157 5.8289 0.0000
0.0000 0.0000 3.7005
Y Sc La
1 1 2
Direct
0.0000 0.5000 0.5000
0.5000 0.0000 0.5000
0.0000 0.0000 0.0000
0.5000 0.5000 0.0000


AlBiOs3 PBE-GGA relaxed; mass density = 11239 kg/m3; calculated volume = 23.84 Å³ per atom; crystal system = cubic; DFT formation energy = 2.89 eV per atom
1.0
4.9212 0.0000 0.0000
0.0000 4.9212 0.0000
0.0000 0.0000 4.9212
Os Bi Al
3 1 1
Direct
0.0000 0.5000 0.0000
0.0000 0.0000 0.5000
0.5000 0.0000 0.0000
0.0000 0.0000 0.0000
0.5000 0.5000 0.5000


SrBeTc2 PBE-GGA relaxed; mass density = 6922 kg/m3; calculated volume = 17.55 Å³ per atom; crystal system = tetragonal; DFT formation energy = 1.06 eV per atom
1.0
-1.3287 -4.8447 1.9537
1.2310 -4.3762 -2.8962
2.4849 4.4547 1.7419
Sr Tc Be
1 2 1
Direct
0.7500 0.2500 0.5000
0.0000 0.0000 0.0000
0.5000 0.5000 0.0000
0.2500 0.7500 0.5000


Zn2SiW PBE-GGA relaxed; mass density = 9912 kg/m3; calculated volume = 14.35 Å³ per atom; energy relative to the elements, uncorrected = 133 meV per atom; crystal system = tetragonal
1.0
5.1238 0.0083 0.0000
2.5985 4.4160 0.0000
-3.8612 -2.2122 2.5400
Si W Zn
1 1 2
Direct
0.2500 0.7500 0.5000
0.7500 0.2500 0.5000
0.0000 0.0000 0.0000
0.5000 0.5000 0.0000


LiReBr2 PBE-GGA relaxed; mass density = 7170 kg/m3; calculated volume = 20.44 Å³ per atom; energy relative to the elements, uncorrected = 596 meV per atom; crystal system = tetragonal
1.0
-0.0722 3.3134 -0.1292
-2.4807 0.0317 2.2012
4.9299 0.3238 5.5511
Br Li Re
2 1 1
Direct
0.0000 0.0000 0.0168
0.0000 0.0000 0.4832
0.5000 0.5000 0.2500
0.5000 0.5000 0.7500


KRePbO4 PBE-GGA relaxed; mass density = 5250 kg/m3; calculated volume = 22.44 Å³ per atom; energy relative to the elements, uncorrected = -1373 meV per atom; crystal system = monoclinic
1.0
8.0318 0.0000 -0.4120
0.0000 5.8450 0.0000
-3.4280 0.0000 6.8665
K Re Pb O
2 2 2 8
Direct
0.7959 0.7500 0.9136
0.2041 0.2500 0.0864
0.2403 0.7500 0.3775
0.7597 0.2500 0.6225
0.8133 0.7500 0.4172
0.1867 0.2500 0.5828
0.9638 0.4571 0.6592
0.0362 0.9571 0.3408
0.0362 0.5429 0.3408
0.9638 0.0429 0.6592
0.2708 0.7500 0.1657
0.7292 0.2500 0.8343
0.4337 0.7500 0.6232
0.5663 0.2500 0.3768


Th4ReOsSe2 PBE-GGA relaxed; mass density = 11173 kg/m3; calculated volume = 27.17 Å³ per atom; energy relative to the elements, uncorrected = -826 meV per atom; crystal system = monoclinic
1.0
4.1422 0.0000 0.0000
0.0000 7.1854 0.1353
0.0000 -2.5008 7.2557
Th Re Os Se
4 1 1 2
Direct
0.5000 0.2390 0.2131
0.5000 0.7610 0.7869
0.0000 0.2625 0.7850
0.0000 0.7375 0.2150
0.5000 0.5000 0.0000
0.0000 0.0000 0.0000
0.5000 0.0000 0.5000
0.0000 0.5000 0.5000


Ac4CdAg PBE-GGA relaxed; mass density = 8451 kg/m3; calculated volume = 36.95 Å³ per atom; crystal system = tetragonal; DFT formation energy = -0.17 eV per atom
1.0
4.0007 -0.0008 0.0002
0.0008 4.0007 0.0002
-0.0004 -0.0004 13.8512
Ac Cd Ag
4 1 1
Direct
0.4999 0.4999 0.8591
0.5001 0.5001 0.1409
0.9999 0.9999 0.6508
0.0001 0.0001 0.3492
0.5000 0.5000 0.5000
0.0000 0.0000 0.0000